(1)
## ZrAlCl (PBE-GGA)

Data for an optimized crystal structure of ZrAlCl.

a b c (Å): 14.043 3.288 5.710
angles (deg): 90.00 95.92 90.00
Sites, in units of the cell vectors:
Zr 0.269 0.500 0.608
Zr 0.731 0.000 0.892
Zr 0.269 0.000 0.108
Zr 0.731 0.500 0.392
Cl 0.859 0.000 0.258
Cl 0.859 0.500 0.758
Cl 0.141 0.000 0.742
Cl 0.141 0.500 0.242
Al 0.571 0.000 0.185
Al 0.429 0.000 0.815
Al 0.571 0.500 0.685
Al 0.429 0.500 0.315

Computed properties:
E_form (uncorrected), meV per atom: -888
E_tot, Ha/atom: -0.2058
Energy above the lowest structure with this stoichiometry, meV per atom: 7

---

(2)
## ZrAlCl2 (PBE-GGA)

Data for an optimized crystal structure of ZrAlCl2.

a b c (Å): 9.786 9.786 9.786
angles (deg): 19.18 19.18 19.18
Sites, in units of the cell vectors:
Cl 0.898 0.898 0.898
Cl 0.102 0.102 0.102
Al 0.000 0.000 0.000
Zr 0.500 0.500 0.500

Computed properties:
E_form (uncorrected), meV per atom: -850
E_tot, Ha/atom: -0.1781
Energy above the lowest structure with this stoichiometry, meV per atom: 176

---

(3)
## ZrAlCl2 (PBE-GGA)

Data for an optimized crystal structure of ZrAlCl2.

a b c (Å): 5.270 5.270 5.270
angles (deg): 131.99 131.99 70.24
Sites, in units of the cell vectors:
Al 0.750 0.250 0.500
Zr 0.250 0.750 0.500
Cl 0.000 0.000 0.000
Cl 0.500 0.500 0.000

Computed properties:
E_form (uncorrected), meV per atom: -320
E_tot, Ha/atom: -0.1586
Energy above the lowest structure with this stoichiometry, meV per atom: 707

---

(4)
## ZrAlCl2 (PBE-GGA)

Data for an optimized crystal structure of ZrAlCl2.

a b c (Å): 5.296 5.296 3.126
angles (deg): 90.00 90.00 110.00
Sites, in units of the cell vectors:
Zr 0.500 0.000 0.500
Al 0.000 0.500 0.500
Cl 0.000 0.000 0.000
Cl 0.500 0.500 0.000

Computed properties:
E_form (uncorrected), meV per atom: -235
E_tot, Ha/atom: -0.1555
Energy above the lowest structure with this stoichiometry, meV per atom: 792